[1]
NdThCdAu: optimized geometry, PBE.

Summary:
energy: -71.3 eV for the cell shown
ΔE_f: -0.359 eV/atom

The structure in CIF format:
```
data_NdThCdAu
_chemical_formula_sum 'Nd4 Th4 Cd4 Au4'
_cell_length_a 7.561
_cell_length_b 7.561
_cell_length_c 7.561
_cell_angle_alpha 90.00
_cell_angle_beta 90.00
_cell_angle_gamma 90.00
_symmetry_space_group_name_H-M 'F -4 3 m'
_symmetry_Int_Tables_number 216
_symmetry_space_group_name_Hall 'F -4 2 3'
loop_
_atom_site_label
_atom_site_type_symbol
_atom_site_fract_x
_atom_site_fract_y
_atom_site_fract_z
Nd1 Nd 0.000 0.000 0.000
Th1 Th 0.000 0.000 0.500
Cd1 Cd 0.250 0.250 0.750
Au1 Au 0.250 0.250 0.250
```

[2]
NdTlCdAu: optimized geometry, PBE.

Summary:
energy: -52.1 eV for the cell shown
ΔE_f: -0.425 eV/atom

The structure in CIF format:
```
data_NdTlCdAu
_chemical_formula_sum 'Nd4 Tl4 Cd4 Au4'
_cell_length_a 7.312
_cell_length_b 7.312
_cell_length_c 7.312
_cell_angle_alpha 90.00
_cell_angle_beta 90.00
_cell_angle_gamma 90.00
_symmetry_space_group_name_H-M 'F -4 3 m'
_symmetry_Int_Tables_number 216
_symmetry_space_group_name_Hall 'F -4 2 3'
loop_
_atom_site_label
_atom_site_type_symbol
_atom_site_fract_x
_atom_site_fract_y
_atom_site_fract_z
Nd1 Nd 0.000 0.000 0.000
Tl1 Tl 0.250 0.250 0.750
Cd1 Cd 0.000 0.000 0.500
Au1 Au 0.250 0.250 0.250
```

[3]
Nd4TlCdAu2: optimized geometry, PBE.

Summary:
energy: -99.1 eV for the cell shown
ΔE_f: -0.517 eV/atom

The structure in CIF format:
```
data_Nd4TlCdAu2
_chemical_formula_sum 'Nd12 Tl3 Cd3 Au6'
_cell_length_a 5.2928
_cell_length_b 5.2928
_cell_length_c 27.5650
_cell_angle_alpha 90.00
_cell_angle_beta 90.00
_cell_angle_gamma 120.00
_symmetry_space_group_name_H-M 'R -3 m'
_symmetry_Int_Tables_number 166
_symmetry_space_group_name_Hall '-R 3 2"'
loop_
_atom_site_label
_atom_site_type_symbol
_atom_site_fract_x
_atom_site_fract_y
_atom_site_fract_z
Nd1 Nd 0.0000 0.0000 0.1227
Nd2 Nd 0.0000 0.0000 0.3768
Tl1 Tl 0.0000 0.0000 0.5000
Cd1 Cd 0.0000 0.0000 0.0000
Au1 Au 0.0000 0.0000 0.2649
```

[4]
Nd4Tl2CdAu: optimized geometry, PBE.

Summary:
energy: -94.9 eV for the cell shown
ΔE_f: -0.454 eV/atom

The structure in CIF format:
```
data_Nd4Tl2CdAu
_chemical_formula_sum 'Nd12 Tl6 Cd3 Au3'
_cell_length_a 5.4561
_cell_length_b 5.4561
_cell_length_c 26.6280
_cell_angle_alpha 90.00
_cell_angle_beta 90.00
_cell_angle_gamma 120.00
_symmetry_space_group_name_H-M 'R -3 m'
_symmetry_Int_Tables_number 166
_symmetry_space_group_name_Hall '-R 3 2"'
loop_
_atom_site_label
_atom_site_type_symbol
_atom_site_fract_x
_atom_site_fract_y
_atom_site_fract_z
Nd1 Nd 0.0000 0.0000 0.1190
Nd2 Nd 0.0000 0.0000 0.3699
Tl1 Tl 0.0000 0.0000 0.2441
Cd1 Cd 0.0000 0.0000 0.5000
Au1 Au 0.0000 0.0000 0.0000
```

[5]
NdTm2CdAu4: optimized geometry, PBE.

Summary:
energy: -100.7 eV for the cell shown
ΔE_f: -0.729 eV/atom

The structure in CIF format:
```
data_NdTm2CdAu4
_chemical_formula_sum 'Nd3 Tm6 Cd3 Au12'
_cell_length_a 4.9753
_cell_length_b 4.9753
_cell_length_c 25.3810
_cell_angle_alpha 90.00
_cell_angle_beta 90.00
_cell_angle_gamma 120.00
_symmetry_space_group_name_H-M 'R -3 m'
_symmetry_Int_Tables_number 166
_symmetry_space_group_name_Hall '-R 3 2"'
loop_
_atom_site_label
_atom_site_type_symbol
_atom_site_fract_x
_atom_site_fract_y
_atom_site_fract_z
Nd1 Nd 0.0000 0.0000 0.0000
Tm1 Tm 0.0000 0.0000 0.2404
Cd1 Cd 0.0000 0.0000 0.5000
Au1 Au 0.0000 0.0000 0.1211
Au2 Au 0.0000 0.0000 0.3815
```

[6]
NdTmCdAu: optimized geometry, PBE.

Summary:
energy: -15.7 eV for the cell shown
energy above the lowest structure with this stoichiometry: 0 meV per atom
ΔE_f: -0.571 eV/atom

The structure in CIF format:
```
data_NdTmCdAu
_chemical_formula_sum 'Nd1 Tm1 Cd1 Au1'
_cell_length_a 3.676
_cell_length_b 3.676
_cell_length_c 7.522
_cell_angle_alpha 90.00
_cell_angle_beta 90.00
_cell_angle_gamma 90.00
_symmetry_space_group_name_H-M 'P 4 m m'
_symmetry_Int_Tables_number 99
_symmetry_space_group_name_Hall 'P 4 -2'
loop_
_atom_site_label
_atom_site_type_symbol
_atom_site_fract_x
_atom_site_fract_y
_atom_site_fract_z
Nd1 Nd 0.000 0.000 0.000
Tm1 Tm 0.000 0.000 0.472
Cd1 Cd 0.500 0.500 0.721
Au1 Au 0.500 0.500 0.272
```

[7]
NdTmCdAu: optimized geometry, PBE.

Summary:
energy: -62.2 eV for the cell shown
energy above the lowest structure with this stoichiometry: 42 meV per atom
ΔE_f: -0.528 eV/atom

The structure in CIF format:
```
data_NdTmCdAu
_chemical_formula_sum 'Nd4 Tm4 Cd4 Au4'
_cell_length_a 7.409
_cell_length_b 7.409
_cell_length_c 7.409
_cell_angle_alpha 90.00
_cell_angle_beta 90.00
_cell_angle_gamma 90.00
_symmetry_space_group_name_H-M 'F -4 3 m'
_symmetry_Int_Tables_number 216
_symmetry_space_group_name_Hall 'F -4 2 3'
loop_
_atom_site_label
_atom_site_type_symbol
_atom_site_fract_x
_atom_site_fract_y
_atom_site_fract_z
Nd1 Nd 0.000 0.000 0.000
Tm1 Tm 0.000 0.000 0.500
Cd1 Cd 0.250 0.250 0.250
Au1 Au 0.250 0.250 0.750
```

[8]
NdZn2CdAu2: optimized geometry, PBE.

Summary:
energy: -17.6 eV for the cell shown
ΔE_f: -0.465 eV/atom

The structure in CIF format:
```
data_NdZn2CdAu2
_chemical_formula_sum 'Nd1 Zn2 Cd1 Au2'
_cell_length_a 4.5791
_cell_length_b 4.5791
_cell_length_c 6.7899
_cell_angle_alpha 90.00
_cell_angle_beta 90.00
_cell_angle_gamma 120.00
_symmetry_space_group_name_H-M 'P -3 m 1'
_symmetry_Int_Tables_number 164
_symmetry_space_group_name_Hall '-P 3 2"'
loop_
_atom_site_label
_atom_site_type_symbol
_atom_site_fract_x
_atom_site_fract_y
_atom_site_fract_z
Nd1 Nd 0.0000 0.0000 0.0000
Zn1 Zn 0.3333 0.6667 0.2928
Cd1 Cd 0.0000 0.0000 0.5000
Au1 Au 0.3333 0.6667 0.7321
```

- ΔE_f of number 6 (NdTmCdAu)?
  -0.571 eV/atom